The following is a PBE calculation of crystalline V6Ga3As at its relaxed geometry, from Alexandria via LeMat-Bulk.

Results
* Fermi-level density of states: 7.12 states/eV/f.u.
* crystal system: orthorhombic
* SG: Cmc2_1
* M_tot: 0.00 μB/f.u.
* ΔH_f (0 K): -11 meV/atom

```
data_V6Ga3As
_cell_length_a 7.299
_cell_length_b 7.299
_cell_length_c 6.376
_cell_angle_alpha 90.00
_cell_angle_beta 90.00
_cell_angle_gamma 117.10
_space_group_name_H-M_alt 'P 1'
_space_group_IT_number 1
loop_
_space_group_symop_operation_xyz
'x,y,z'
loop_
_atom_site_label
_atom_site_type_symbol
_atom_site_fract_x
_atom_site_fract_y
_atom_site_fract_z
V1 V 0.006 0.994 0.500
V2 V 0.051 0.528 0.530
V3 V 0.200 0.392 0.859
V4 V 0.247 0.753 0.836
V5 V 0.392 0.200 0.359
V6 V 0.472 0.949 0.530
V7 V 0.528 0.051 0.030
V8 V 0.608 0.800 0.859
V9 V 0.753 0.247 0.336
V10 V 0.800 0.608 0.359
V11 V 0.949 0.472 0.030
V12 V 0.994 0.006 0.000
Ga1 Ga 0.136 0.323 0.251
Ga2 Ga 0.323 0.136 0.751
Ga3 Ga 0.442 0.558 0.522
Ga4 Ga 0.558 0.442 0.022
Ga5 Ga 0.677 0.864 0.251
Ga6 Ga 0.864 0.677 0.751
As1 As 0.178 0.822 0.235
As2 As 0.822 0.178 0.735
```